(1)
First-principles (PBE-GGA) data for a geometry-optimized Ac2GaBi4 structure, as listed in Alexandria.

POSCAR file:
```
Ac2GaBi4
1.0
0.000 4.922 5.073
4.885 0.000 5.073
4.885 4.922 0.000
Ac Ga Bi
2 1 4
Direct
0.000 0.000 0.500
0.500 0.500 0.000
0.000 0.000 0.000
0.000 0.500 0.000
0.000 0.500 0.500
0.500 0.000 0.000
0.500 0.000 0.500
```

Summary:
Energy above the lowest structure with this stoichiometry ... 0.50 eV/f.u.
Calculated formation energy ... -0.51 eV/atom
SG ... Fmmm



(2)
First-principles (PBE-GGA) data for a geometry-optimized Cu3As structure, as listed in Alexandria.

POSCAR file:
```
Cu3As
1.0
2.877 0.000 0.000
0.000 3.571 0.000
0.000 0.000 5.223
Cu As
3 1
Direct
0.000 0.000 0.000
0.500 0.500 0.240
0.500 0.500 0.760
0.000 0.000 0.500
```

Summary:
Calculated formation energy ... 0.08 eV/atom
SG ... Pmmm



(3)
First-principles (PBE-GGA) data for a geometry-optimized CeHo2Th structure, as listed in Alexandria.

POSCAR file:
```
CeHo2Th
1.0
1.722 0.994 12.211
-1.722 0.994 12.211
0.000 -1.989 12.211
Ce Ho Th
1 2 1
Direct
0.000 0.000 0.000
0.090 0.090 0.090
0.910 0.910 0.910
0.500 0.500 0.500
```

Summary:
Energy above the lowest structure with this stoichiometry ... 0.51 eV/f.u.
Calculated formation energy ... 0.17 eV/atom
SG ... R-3m



(4)
First-principles (PBE-GGA) data for a geometry-optimized LiY2Pu3Te6 structure, as listed in Alexandria.

POSCAR file:
```
LiY2Pu3Te6
1.0
9.576 -2.195 0.000
9.576 2.195 0.000
-1.957 0.000 8.579
Li Y Pu Te
1 2 3 6
Direct
0.000 0.000 0.000
0.334 0.334 0.665
0.666 0.666 0.335
0.000 0.000 0.500
0.332 0.332 0.163
0.668 0.668 0.837
0.163 0.163 0.087
0.168 0.168 0.584
0.499 0.499 0.759
0.501 0.501 0.241
0.832 0.832 0.416
0.837 0.837 0.913
```

Summary:
Raw formation energy ... -1.17 eV per atom
SG ... C2/m



(5)
First-principles (PBE-GGA) data for a geometry-optimized Th3B2Rh7 structure, as listed in Alexandria.

POSCAR file:
```
Th3B2Rh7
1.0
2.135 -11.117 0.000
2.135 11.117 0.000
0.000 0.000 4.261
Th B Rh
3 2 7
Direct
0.000 0.000 0.000
0.187 0.813 0.000
0.813 0.187 0.000
0.398 0.602 0.500
0.602 0.398 0.500
0.094 0.906 0.500
0.303 0.697 0.500
0.405 0.595 0.000
0.500 0.500 0.500
0.595 0.405 0.000
0.697 0.303 0.500
0.906 0.094 0.500
```

Summary:
Calculated formation energy ... -0.85 eV/atom
SG ... Cmmm



(6)
First-principles (PBE-GGA) data for a geometry-optimized Pm3CoBr structure, as listed in Alexandria.

POSCAR file:
```
Pm3CoBr
1.0
6.653 0.000 0.000
0.000 4.174 0.000
-2.660 0.000 10.090
Pm Co Br
6 2 2
Direct
0.002 0.250 0.259
0.304 0.750 0.508
0.484 0.250 0.795
0.516 0.750 0.205
0.696 0.250 0.492
0.998 0.750 0.741
0.118 0.250 0.592
0.882 0.750 0.408
0.234 0.250 0.005
0.766 0.750 0.995
```

Summary:
Energy above the lowest structure with this stoichiometry ... 0.00 eV/f.u.
Raw formation energy ... -0.52 eV per atom
SG ... P2_1/m